## Al2H2Rh (PBE-GGA)

Data for a geometry-optimized Al2H2Rh structure.

a b c (Å): 2.8799 2.8799 6.3121
angles (deg): 76.81 76.81 90.00
With the nearest neighbours (Å) after each atom.
Sites, in units of the cell vectors:
H1 0.2500 0.7500 0.5000  4 Al 1.99, 4 H 2.04
H2 0.7500 0.2500 0.5000  4 Al 1.99, 4 H 2.04
Al1 0.3653 0.3653 0.2694  4 H 1.99
Al2 0.6347 0.6347 0.7306  4 H 1.99
Rh1 0.0000 0.0000 0.0000  8 Al 2.60, 4 Rh 2.88

Symmetry: I4/mmm, No. 139
Total magnetization in μB/atom: 0.000
E in eV per atom: -4.5705